# 1
Density functional theory data (PBE) for a relaxed LiTmVCl6 crystal.

Values from the calculation:
Theoretical density (g/cm³): 3.4
Final energy (eV per atom): -4.728
Energy relative to the elements, uncorrected (eV/atom): -1.7745

```
LiTmVCl6
1.0
6.3904 0.0000 0.0000
-3.1952 5.5343 0.0000
0.0000 0.0000 11.9827
Li Tm V Cl
2 2 2 12
Cartesian
0.0000 0.0000 0.0000
0.0000 0.0000 5.9914
0.0000 3.6895 2.9957
3.1952 1.8448 8.9871
0.0000 3.6895 8.9871
3.1952 1.8448 2.9957
-1.0231 1.9385 7.5386
-2.0280 3.6790 10.4355
1.0231 1.9385 10.4355
-1.0049 5.4510 7.5386
2.1904 0.0832 1.5472
1.1673 1.8553 4.4442
2.0280 3.6790 7.5386
1.0049 5.4510 10.4355
4.2001 0.0832 4.4442
2.1721 3.5958 1.5472
5.2232 1.8553 1.5472
4.2183 3.5958 4.4442
```

***

# 2
Density functional theory data (PBE) for a relaxed B5C7 crystal.

Values from the calculation:
Theoretical density (g/cm³): 2.9
Distance to the lowest polymorph of the same formula (eV per atom): 0.118
Energy of formation from the pure elements (meV/atom): 376
Final energy (eV per atom): -7.787

```
B5C7
1.0
6.8752 -1.2790 0.0000
6.8752 1.2790 0.0000
-1.5664 0.0000 4.4690
B C
5 7
Cartesian
0.0000 0.0000 0.0000
3.5460 0.0000 3.0694
6.0928 0.0000 2.2317
8.3533 0.0000 1.3974
10.2776 0.0000 1.8623
1.6056 0.0000 0.4803
0.9912 0.0000 3.7050
2.4701 0.0000 4.2346
5.0545 0.0000 3.4744
7.6456 0.0000 2.8288
11.2039 0.0000 0.6049
12.6203 0.0000 1.1809
```

***

# 3
Density functional theory data (PBE) for a relaxed TaAsOs2 crystal.

Values from the calculation:
Theoretical density (g/cm³): 17.2
Energy of formation from the pure elements (meV/atom): 100
Final energy (eV per atom): -9.640

```
TaAsOs2
1.0
-1.5098 2.2670 4.4912
1.5098 -2.2670 4.4912
1.5098 2.2670 -4.4912
Ta As Os
1 1 2
Cartesian
0.0000 0.0000 0.0000
1.5098 0.0000 2.1268
0.0000 0.0000 4.0840
0.0000 2.2670 1.9671
```

***

# 4
Density functional theory data (PBE) for a relaxed YBe3Bi crystal.

Values from the calculation:
Theoretical density (g/cm³): 4.9
Distance to the lowest polymorph of the same formula (eV per atom): 0.000
Energy of formation from the pure elements (meV/atom): 1079
Final energy (eV per atom): -3.226

```
YBe3Bi
1.0
4.7819 0.0000 0.0000
0.0000 4.7819 0.0000
0.0000 0.0000 4.7819
Y Be Bi
1 3 1
Cartesian
0.0000 0.0000 0.0000
0.0000 2.3909 2.3909
2.3909 0.0000 2.3909
2.3909 2.3909 0.0000
2.3909 2.3909 2.3909
```

***

# 5
Density functional theory data (PBE) for a relaxed RbHoTl2Cl6 crystal.

Values from the calculation:
Theoretical density (g/cm³): 4.0
Final energy (eV per atom): -3.883
Energy relative to the elements, uncorrected (eV/atom): -1.7473

```
RbHoTl2Cl6
1.0
7.8697 0.0000 0.0000
3.9315 6.8208 0.0000
3.9348 2.2705 6.7070
Rb Ho Tl Cl
1 1 2 6
Cartesian
0.0000 0.0000 0.0000
7.8676 4.5459 3.5418
3.9334 2.2730 1.0144
11.8017 6.8199 4.2049
5.7932 4.4443 5.2133
6.4905 6.3020 2.1389
8.8151 6.3933 5.2147
7.0364 2.4732 2.1404
8.9935 2.8015 5.2144
10.0788 4.8619 2.1417
```

***

# 6
Density functional theory data (PBE) for a relaxed CaTmGaPt crystal.

Values from the calculation:
Theoretical density (g/cm³): 8.4
Distance to the lowest polymorph of the same formula (eV per atom): 0.000
Energy of formation from the pure elements (meV/atom): -831
Final energy (eV per atom): -4.716

```
CaTmGaPt
1.0
4.1282 0.0000 0.0000
0.0000 1.9873 5.6833
0.0000 -1.9873 5.6833
Ca Tm Ga Pt
1 1 1 1
Cartesian
0.0000 0.0000 0.0000
2.0641 0.0000 8.0517
2.0641 0.0000 4.7265
0.0000 0.0000 3.0523
```

***

# 7
Density functional theory data (PBE) for a relaxed YZn11 crystal.

Values from the calculation:
Theoretical density (g/cm³): 7.0
Energy of formation from the pure elements (meV/atom): -180
Final energy (eV per atom): -1.886

```
YZn11
1.0
-5.2792 5.2792 3.4198
5.2792 -5.2792 3.4198
5.2792 5.2792 -3.4198
Y Zn
2 22
Cartesian
5.2792 2.6396 0.8549
0.0000 2.6396 2.5648
0.0000 0.0000 0.0000
2.6396 2.6396 -1.7099
2.6396 -2.6396 1.7099
5.2792 -2.6396 2.5648
3.9977 -0.4747 1.1996
6.5608 -0.4747 1.1996
2.1649 1.3581 0.5102
8.3935 1.3581 0.5102
3.9977 4.8046 -1.1996
1.2815 -0.4747 2.2201
2.1649 3.9212 0.5102
3.1143 -1.3581 3.9300
0.0000 5.2792 0.0000
2.1649 6.6373 -0.5102
3.1143 1.3581 2.9095
3.9977 5.7539 1.1996
1.2815 0.4747 4.6194
-3.1143 3.9212 2.9095
3.1143 3.9212 2.9095
-1.2815 5.7539 2.2201
1.2815 5.7539 2.2201
0.0000 7.9189 0.8549
```

***

# 8
Density functional theory data (PBE) for a relaxed ZnAgAs3 crystal.

Values from the calculation:
Theoretical density (g/cm³): 5.2
Distance to the lowest polymorph of the same formula (eV per atom): 0.202
Energy of formation from the pure elements (meV/atom): 964
Final energy (eV per atom): -2.651

```
ZnAgAs3
1.0
5.0228 0.0000 0.0000
0.0000 5.0228 0.0000
0.0000 0.0000 5.0228
Zn Ag As
1 1 3
Cartesian
0.0000 0.0000 0.0000
2.5114 2.5114 2.5114
0.0000 2.5114 2.5114
2.5114 0.0000 2.5114
2.5114 2.5114 0.0000
```

***

# 9
Density functional theory data (PBE) for a relaxed Pb3W4 crystal.

Values from the calculation:
Theoretical density (g/cm³): 15.5
Energy of formation from the pure elements (meV/atom): 1818
Final energy (eV per atom): -7.173

```
Pb3W4
1.0
5.8204 0.0000 0.0000
-2.9102 5.0406 0.0000
0.0000 0.0000 4.9414
Pb W
3 4
Cartesian
-1.4551 2.5203 0.0000
2.9102 0.0000 0.0000
1.4551 2.5203 0.0000
0.0000 0.0000 1.2387
0.0000 0.0000 3.7027
0.0000 3.3604 2.4707
2.9102 1.6802 2.4707
```

***

# 10
Density functional theory data (PBE) for a relaxed BeTcTe2 crystal.

Values from the calculation:
Theoretical density (g/cm³): 7.2
Final energy (eV per atom): -5.082
Energy relative to the elements, uncorrected (eV/atom): 0.0120

```
BeTcTe2
1.0
3.2253 0.0000 0.0000
0.0000 3.2253 0.0000
0.0000 0.0000 8.0612
Be Tc Te
1 1 2
Cartesian
0.0000 0.0000 0.0000
1.6127 1.6127 1.0726
0.0000 0.0000 2.6571
1.6127 1.6127 6.4179
```

***

# 11
Density functional theory data (PBE) for a relaxed Ac2Pm4Nd2Y crystal.

Values from the calculation:
Theoretical density (g/cm³): 7.1
Energy of formation from the pure elements (meV/atom): 31
Final energy (eV per atom): -4.771

```
Ac2Pm4Nd2Y
1.0
9.7133 -1.8844 0.0000
9.7133 1.8844 0.0000
-4.3589 0.0000 9.0375
Ac Pm Nd Y
2 4 2 1
Cartesian
2.1130 0.0000 1.4917
12.9547 0.0000 7.5458
-0.0514 0.0000 7.5066
8.5734 0.0000 1.6248
6.4943 0.0000 7.4127
15.1191 0.0000 1.5310
4.3495 0.0000 4.4853
10.7182 0.0000 4.5523
-2.1794 0.0000 4.5188
```

***

# 12
Density functional theory data (PBE) for a relaxed Mg3MnNi8 crystal.

Values from the calculation:
Theoretical density (g/cm³): 6.4
Energy of formation from the pure elements (meV/atom): -162
Final energy (eV per atom): -5.179

```
Mg3MnNi8
1.0
2.3997 1.3854 7.7970
-2.3997 1.3854 7.7970
0.0000 -2.7709 7.7970
Mg Mn Ni
3 1 8
Cartesian
0.0000 0.0000 0.0000
0.0000 0.0000 2.9525
0.0000 0.0000 11.7709
0.0000 0.0000 14.6683
-1.2048 -0.6956 9.2662
0.0000 -1.3896 5.4131
-1.2034 0.6948 5.4131
0.0000 0.0000 7.3388
1.2048 -0.6956 9.2662
0.0000 1.3912 9.2662
1.2034 0.6948 5.4131
0.0000 0.0000 19.0345
```

***

# 13
Density functional theory data (PBE) for a relaxed LiLaRh3 crystal.

Values from the calculation:
Theoretical density (g/cm³): 6.3
Distance to the lowest polymorph of the same formula (eV per atom): 0.899
Energy of formation from the pure elements (meV/atom): 802
Final energy (eV per atom): -4.977

```
LiLaRh3
1.0
4.9337 0.0000 0.0000
0.0000 4.9337 0.0000
0.0000 0.0000 4.9337
Li La Rh
1 1 3
Cartesian
0.0000 0.0000 0.0000
2.4669 2.4669 2.4669
0.0000 2.4669 2.4669
2.4669 0.0000 2.4669
2.4669 2.4669 0.0000
```